{"formula": "LaBeF3", "functional": "PBE", "state": "relaxed", "raw_formation_energy_mev_per_atom": -2527, "lattice": [[4.722, 0.000, 0.000], [0.000, 4.722, 0.000], [0.000, 0.000, 4.722]], "species": ["La", "Be", "F", "F", "F"], "fractional_positions": [[0.000, 0.000, 0.000], [0.500, 0.500, 0.500], [0.000, 0.000, 0.500], [0.000, 0.500, 0.000], [0.500, 0.000, 0.000]]}

***

{"formula": "ZrCoB3", "functional": "PBE", "state": "relaxed", "formation_energy_ev_per_atom": 2.213, "lattice": [[4.256, 0.000, 0.000], [0.000, 4.256, 0.000], [0.000, 0.000, 4.256]], "species": ["Zr", "Co", "B", "B", "B"], "fractional_positions": [[0.000, 0.000, 0.000], [0.500, 0.500, 0.500], [0.000, 0.000, 0.500], [0.000, 0.500, 0.000], [0.500, 0.000, 0.000]]}

***

{"formula": "Be2GeBr6", "functional": "PBE", "state": "relaxed", "raw_formation_energy_mev_per_atom": -807, "lattice": [[6.849, -6.425, 0.000], [6.849, 6.425, 0.000], [-2.530, 0.000, 6.040]], "species": ["Be", "Be", "Be", "Be", "Ge", "Ge", "Br", "Br", "Br", "Br", "Br", "Br", "Br", "Br", "Br", "Br", "Br", "Br"], "fractional_positions": [[0.131, 0.300, 0.154], [0.300, 0.131, 0.654], [0.700, 0.869, 0.346], [0.869, 0.700, 0.846], [0.257, 0.743, 0.250], [0.743, 0.257, 0.750], [0.087, 0.645, 0.806], [0.107, 0.224, 0.790], [0.224, 0.107, 0.290], [0.294, 0.482, 0.337], [0.355, 0.913, 0.694], [0.482, 0.294, 0.837], [0.518, 0.706, 0.163], [0.645, 0.087, 0.306], [0.706, 0.518, 0.663], [0.776, 0.893, 0.710], [0.893, 0.776, 0.210], [0.913, 0.355, 0.194]]}

***

{"formula": "SmDySe", "functional": "PBE", "state": "relaxed", "raw_formation_energy_mev_per_atom": -1110, "lattice": [[3.897, 0.000, 0.000], [-1.948, 3.374, 0.000], [0.000, 0.000, 6.626]], "species": ["Sm", "Dy", "Se"], "fractional_positions": [[0.000, 0.000, 0.000], [0.333, 0.667, 0.556], [0.667, 0.333, 0.285]]}

***

{"formula": "SrCoP2", "functional": "PBE", "state": "relaxed", "formation_energy_ev_per_atom": 0.296, "lattice": [[4.042, 0.000, 0.000], [0.000, 4.042, 0.000], [0.000, 0.000, 9.197]], "species": ["Sr", "Sr", "Co", "Co", "P", "P", "P", "P"], "fractional_positions": [[0.000, 0.000, 0.000], [0.500, 0.500, 0.500], [0.000, 0.500, 0.750], [0.500, 0.000, 0.250], [0.000, 0.000, 0.500], [0.000, 0.500, 0.250], [0.500, 0.000, 0.750], [0.500, 0.500, 0.000]]}

***

{"formula": "La2Pm2Sm4Tm", "functional": "PBE", "state": "relaxed", "formation_energy_ev_per_atom": 0.010, "lattice": [[9.532, -1.840, 0.000], [9.532, 1.840, 0.000], [-4.217, 0.000, 8.808]], "species": ["La", "La", "Pm", "Pm", "Sm", "Sm", "Sm", "Sm", "Tm"], "fractional_positions": [[0.165, 0.165, 0.499], [0.835, 0.835, 0.501], [0.353, 0.353, 0.835], [0.647, 0.647, 0.165], [0.019, 0.019, 0.831], [0.315, 0.315, 0.165], [0.685, 0.685, 0.835], [0.981, 0.981, 0.169], [0.500, 0.500, 0.500]]}

***

{"formula": "NaLi", "functional": "PBE", "state": "relaxed", "formation_energy_ev_per_atom": 0.062, "lattice": [[4.242, 0.000, 0.000], [0.000, 15.284, 0.000], [0.000, 0.000, 5.228]], "species": ["Na", "Na", "Na", "Na", "Na", "Na", "Li", "Li", "Li", "Li", "Li", "Li"], "fractional_positions": [[0.250, 0.083, 0.002], [0.250, 0.417, 0.002], [0.250, 0.750, 0.995], [0.750, 0.250, 0.005], [0.750, 0.583, 0.998], [0.750, 0.917, 0.998], [0.250, 0.250, 0.504], [0.250, 0.583, 0.498], [0.250, 0.917, 0.498], [0.750, 0.083, 0.502], [0.750, 0.417, 0.502], [0.750, 0.750, 0.496]]}

***

{"formula": "K2Mg", "functional": "PBE", "state": "relaxed", "formation_energy_ev_per_atom": 0.135, "lattice": [[9.514, 0.000, 0.000], [0.000, 9.514, 0.000], [0.000, 0.000, 6.816]], "species": ["K", "K", "K", "K", "K", "K", "K", "K", "Mg", "Mg", "Mg", "Mg"], "fractional_positions": [[0.165, 0.335, 0.000], [0.165, 0.665, 0.500], [0.335, 0.165, 0.500], [0.335, 0.835, 0.000], [0.665, 0.165, 0.000], [0.665, 0.835, 0.500], [0.835, 0.335, 0.500], [0.835, 0.665, 0.000], [0.000, 0.000, 0.250], [0.000, 0.000, 0.750], [0.500, 0.500, 0.250], [0.500, 0.500, 0.750]]}

***

{"formula": "Nd12Bi6Ir", "functional": "PBE", "state": "relaxed", "formation_energy_ev_per_atom": -0.548, "lattice": [[6.843, 3.951, 4.250], [-6.843, 3.951, 4.250], [0.000, -7.902, 4.250]], "species": ["Nd", "Nd", "Nd", "Nd", "Nd", "Nd", "Nd", "Nd", "Nd", "Nd", "Nd", "Nd", "Bi", "Bi", "Bi", "Bi", "Bi", "Bi", "Ir"], "fractional_positions": [[0.009, 0.686, 0.943], [0.057, 0.991, 0.314], [0.197, 0.418, 0.550], [0.314, 0.057, 0.991], [0.418, 0.550, 0.197], [0.450, 0.803, 0.582], [0.550, 0.197, 0.418], [0.582, 0.450, 0.803], [0.686, 0.943, 0.009], [0.803, 0.582, 0.450], [0.943, 0.009, 0.686], [0.991, 0.314, 0.057], [0.121, 0.646, 0.315], [0.315, 0.121, 0.646], [0.354, 0.685, 0.879], [0.646, 0.315, 0.121], [0.685, 0.879, 0.354], [0.879, 0.354, 0.685], [0.000, 0.000, 0.000]]}

***

{"formula": "YTlFe2W", "functional": "PBE", "state": "relaxed", "formation_energy_ev_per_atom": 2.429, "lattice": [[4.460, 0.000, 0.000], [0.000, 4.460, 0.000], [0.000, 0.000, 5.469]], "species": ["Y", "Tl", "Fe", "Fe", "W"], "fractional_positions": [[0.000, 0.000, 0.000], [0.000, 0.000, 0.500], [0.000, 0.500, 0.000], [0.500, 0.000, 0.000], [0.500, 0.500, 0.500]]}

***

{"formula": "Ac8GeSe4S3", "functional": "PBE", "state": "relaxed", "raw_formation_energy_mev_per_atom": -1809, "lattice": [[4.411, 2.547, 7.317], [-4.411, 2.547, 7.317], [0.000, -5.093, 7.317]], "species": ["Ac", "Ac", "Ac", "Ac", "Ac", "Ac", "Ac", "Ac", "Ge", "Se", "Se", "Se", "Se", "S", "S", "S"], "fractional_positions": [[0.243, 0.746, 0.746], [0.245, 0.245, 0.245], [0.254, 0.254, 0.757], [0.254, 0.757, 0.254], [0.746, 0.243, 0.746], [0.746, 0.746, 0.243], [0.755, 0.755, 0.755], [0.757, 0.254, 0.254], [0.500, 0.500, 0.500], [0.000, 0.000, 0.000], [0.000, 0.500, 0.500], [0.500, 0.000, 0.500], [0.500, 0.500, 0.000], [0.000, 0.000, 0.500], [0.000, 0.500, 0.000], [0.500, 0.000, 0.000]]}

***

{"formula": "PuAl3Au6", "functional": "PBE", "state": "relaxed", "formation_energy_ev_per_atom": -0.358, "lattice": [[7.182, 0.000, 0.000], [0.000, 6.981, 0.000], [-4.248, 0.000, 7.574]], "species": ["Pu", "Pu", "Al", "Al", "Al", "Al", "Al", "Al", "Au", "Au", "Au", "Au", "Au", "Au", "Au", "Au", "Au", "Au", "Au", "Au"], "fractional_positions": [[0.000, 0.000, 0.000], [0.000, 0.500, 0.500], [0.255, 0.150, 0.451], [0.255, 0.350, 0.951], [0.500, 0.000, 0.000], [0.500, 0.500, 0.500], [0.745, 0.650, 0.049], [0.745, 0.850, 0.549], [0.128, 0.068, 0.689], [0.128, 0.432, 0.189], [0.266, 0.700, 0.866], [0.266, 0.800, 0.366], [0.458, 0.142, 0.260], [0.458, 0.358, 0.760], [0.542, 0.642, 0.240], [0.542, 0.858, 0.740], [0.734, 0.200, 0.634], [0.734, 0.300, 0.134], [0.872, 0.568, 0.811], [0.872, 0.932, 0.311]]}

***

{"formula": "Y3Si5Au6", "functional": "PBE", "state": "relaxed", "raw_formation_energy_mev_per_atom": -547, "lattice": [[4.222, 0.000, 0.000], [0.000, 12.752, 0.000], [0.000, 0.000, 9.822]], "species": ["Y", "Y", "Y", "Y", "Y", "Y", "Si", "Si", "Si", "Si", "Si", "Si", "Si", "Si", "Si", "Si", "Au", "Au", "Au", "Au", "Au", "Au", "Au", "Au", "Au", "Au", "Au", "Au"], "fractional_positions": [[0.250, 0.077, 0.244], [0.250, 0.423, 0.244], [0.250, 0.750, 0.254], [0.750, 0.250, 0.746], [0.750, 0.577, 0.756], [0.750, 0.923, 0.756], [0.250, 0.087, 0.859], [0.250, 0.413, 0.859], [0.250, 0.627, 0.537], [0.250, 0.750, 0.796], [0.250, 0.873, 0.537], [0.750, 0.127, 0.463], [0.750, 0.250, 0.204], [0.750, 0.373, 0.463], [0.750, 0.587, 0.141], [0.750, 0.913, 0.141], [0.250, 0.066, 0.612], [0.250, 0.250, 0.015], [0.250, 0.250, 0.457], [0.250, 0.434, 0.612], [0.250, 0.589, 0.995], [0.250, 0.911, 0.995], [0.750, 0.089, 0.005], [0.750, 0.411, 0.005], [0.750, 0.566, 0.388], [0.750, 0.750, 0.543], [0.750, 0.750, 0.985], [0.750, 0.934, 0.388]]}

***

{"formula": "AcLaInGe", "functional": "PBE", "state": "relaxed", "formation_energy_ev_per_atom": -0.611, "lattice": [[4.376, 0.000, 0.000], [0.000, 4.778, 0.000], [0.000, 0.000, 12.072]], "species": ["Ac", "Ac", "La", "La", "In", "In", "Ge", "Ge"], "fractional_positions": [[0.000, 0.000, 0.000], [0.000, 0.500, 0.500], [0.500, 0.000, 0.715], [0.500, 0.500, 0.215], [0.500, 0.000, 0.422], [0.500, 0.500, 0.922], [0.000, 0.000, 0.271], [0.000, 0.500, 0.771]]}

***

{"formula": "NaTaO3", "functional": "PBE", "state": "relaxed", "raw_formation_energy_mev_per_atom": -1797, "lattice": [[-2.308, 2.308, 6.315], [2.308, -2.308, 6.315], [2.308, 2.308, -6.315]], "species": ["Na", "Na", "Ta", "Ta", "O", "O", "O", "O", "O", "O"], "fractional_positions": [[0.096, 0.096, 0.000], [0.904, 0.904, 0.000], [0.500, 0.500, 0.000], [0.750, 0.250, 0.500], [0.034, 0.534, 0.500], [0.126, 0.357, 0.768], [0.466, 0.966, 0.500], [0.589, 0.357, 0.232], [0.643, 0.411, 0.768], [0.643, 0.874, 0.232]]}

***

{"formula": "PrSc3Ag2", "functional": "PBE", "state": "relaxed", "formation_energy_ev_per_atom": -0.153, "lattice": [[3.449, 0.000, 0.000], [0.000, 3.449, 0.000], [0.000, 0.000, 11.830]], "species": ["Pr", "Sc", "Sc", "Sc", "Ag", "Ag"], "fractional_positions": [[0.000, 0.000, 0.000], [0.500, 0.500, 0.212], [0.500, 0.500, 0.500], [0.500, 0.500, 0.788], [0.000, 0.000, 0.354], [0.000, 0.000, 0.646]]}

***

{"formula": "PtRhAu2S", "functional": "PBE", "state": "relaxed", "raw_formation_energy_mev_per_atom": 970, "lattice": [[5.149, 0.000, 0.000], [0.000, 5.149, 0.000], [0.000, 0.000, 4.343]], "species": ["Pt", "Rh", "Au", "Au", "S"], "fractional_positions": [[0.000, 0.000, 0.000], [0.500, 0.500, 0.500], [0.000, 0.500, 0.000], [0.500, 0.000, 0.000], [0.000, 0.000, 0.500]]}

***

{"formula": "La2SmMgN", "functional": "PBE", "state": "relaxed", "raw_formation_energy_mev_per_atom": -614, "lattice": [[5.182, 0.000, 0.000], [0.000, 5.182, 0.000], [0.000, 0.000, 4.996]], "species": ["La", "La", "Sm", "Mg", "N"], "fractional_positions": [[0.000, 0.500, 0.000], [0.500, 0.000, 0.000], [0.000, 0.000, 0.500], [0.500, 0.500, 0.500], [0.000, 0.000, 0.000]]}